*i*
# GdZn

A relaxed structure of GdZn (GGA-PBE, OQMD).

The structure in POSCAR format:
```
GdZn
1.0
2.7848 4.8348 0.0000
-5.4925 6.4019 0.0000
0.0000 0.0000 5.2542
Gd Zn
5 5
Cartesian
0.3107 6.5171 0.0000
-2.7363 4.8110 0.0000
-2.7906 8.3058 0.0000
-0.7296 4.5460 2.6271
-3.9710 6.4154 2.6271
0.0265 3.2655 0.0000
-5.4592 6.4296 0.0000
-1.0017 1.5894 2.6271
-0.9300 7.9512 2.6271
-3.6069 9.5305 2.6271
```

Summary:
SG   Pm (6)
Crystal system   monoclinic

***

*ii*
# GdZn

A relaxed structure of GdZn (GGA-PBE, OQMD).

The structure in POSCAR format:
```
GdZn
1.0
-4.1047 -4.5287 -1.2868
6.4001 -6.4078 2.1334
-1.4899 0.0434 4.6000
Gd Zn
6 6
Cartesian
-0.6807 -3.4972 -0.1875
-0.0086 -8.4883 0.0772
-3.8976 -4.3233 1.3199
0.9356 -3.3362 2.8760
-0.7371 -5.9808 2.3591
2.6642 -6.5729 3.4664
-2.1414 -6.0768 -0.6363
1.7157 -5.6184 0.6087
2.9731 -8.6026 1.0441
5.4671 -6.7806 1.8347
-1.7169 -2.0392 2.0046
0.6244 -8.7007 2.8258
```

Summary:
SG   Pmc2_1 (26)
Crystal system   orthorhombic

***

Short version: *i* is the least stable of them.